ScIr4Pb | PBE | relaxed

abc: 7.519 7.519 7.519
angles: 90.00 90.00 90.00
Space group F-43m (No. 216)
Inequivalent atoms, fractional coordinates:
Sc  0.000  0.000  0.000
Ir  0.125  0.125  0.625
Pb  0.250  0.250  0.250

DFT formation energy: -0.18 eV per atom

=====

Sc2IrPb | PBE | relaxed

abc: 9.457 4.123 4.923
angles: 90.00 121.27 90.00
Space group C2/m (No. 12)
Inequivalent atoms, fractional coordinates:
Sc  0.219  0.000  0.219
Ir  0.000  0.500  0.000
Pb  0.000  0.000  0.500

DFT formation energy: -0.50 eV per atom

=====

Sc2IrPb | PBE | relaxed

abc: 3.7283 3.7283 26.9904
angles: 90.00 90.00 120.00
Space group R-3m (No. 166, hexagonal axes)
Inequivalent atoms, fractional coordinates:
Sc  0.0000  0.0000  0.1130
Ir  0.0000  0.0000  0.5000
Pb  0.0000  0.0000  0.0000

DFT formation energy: -0.31 eV per atom

=====

TmScIrPb | PBE | relaxed

abc: 3.390 3.390 7.762
angles: 90.00 90.00 90.00
Space group P4mm (No. 99)
Inequivalent atoms, fractional coordinates:
Tm  0.000  0.000  0.000
Sc  0.000  0.000  0.594
Ir  0.500  0.500  0.781
Pb  0.500  0.500  0.312

DFT formation energy: -0.69 eV per atom

=====

Ir2PbSe | PBE | relaxed

abc: 4.789 4.789 3.127
angles: 90.00 90.00 90.00
Space group P4/mmm (No. 123)
Inequivalent atoms, fractional coordinates:
Ir  0.000  0.500  0.000
Pb  0.000  0.000  0.500
Se  0.500  0.500  0.500

ΔE_f (raw): 2.59 eV per formula unit
ΔE to the lowest computed polymorph: 569 meV per atom

=====

Ir2PbSe | PBE | relaxed

abc: 6.661 6.661 6.661
angles: 90.00 90.00 90.00
Space group F-43m (No. 216)
Inequivalent atoms, fractional coordinates:
Ir  0.000  0.000  0.000
Ir  0.250  0.250  0.250
Pb  0.000  0.000  0.500
Se  0.250  0.250  0.750

ΔE_f (raw): 3.22 eV per formula unit
ΔE to the lowest computed polymorph: 724 meV per atom

=====

no.,magnetic moment (μB per cell),final energy (eV for the cell shown)
1,0.000,-186.3
2,0.000,-54.5
3,0.000,-79.5
4,0.000,-26.1
5,0.000,-22.3
6,0.001,-86.8